The following is a DFT calculation (PBE-GGA) of CePmGeS after structural relaxation.

Summary:
E_form (uncorrected) ... -1.416 eV/atom
Total energy ... -6.2730 eV/atom

Cell lengths 4.1633, 4.1633, 7.1653 Å; angles 73.11, 73.11, 60.00 degrees
Each line ends with the local moment (μB).
Fractional positions:
Ge (0.4458, 0.4458, 0.6626)  -0.02
Pm (0.6923, 0.6923, 0.9232)  0.00
S (0.9433, 0.9433, 0.1702)  -0.01
Ce (0.1951, 0.1951, 0.4148)  0.47

=====

The following is a DFT calculation (PBE-GGA) of ScZnPt after structural relaxation.

Summary:
Total energy ... -5.3643 eV/atom

Cell lengths 4.4490, 4.4490, 2.9771 Å; angles 90.00, 90.00, 120.00 degrees
Fractional positions:
Sc (0.6667, 0.3333, 0.3331)
Pt (0.0000, 0.0000, 0.8337)
Zn (0.3333, 0.6667, 0.8331)

=====

The following is a DFT calculation (PBE-GGA) of KNa2Tl after structural relaxation.

Summary:
Total energy ... -1.5362 eV/atom

Cell lengths 5.9454, 5.9454, 5.9559 Å; angles 60.06, 60.06, 60.00 degrees
Fractional positions:
Na (0.2509, 0.2509, 0.2472)
Na (0.0002, 0.0002, 0.9994)
Tl (0.7491, 0.7491, 0.7528)
K (0.4998, 0.4998, 0.5006)